# 1
Density functional theory data (GGA-PBE) for a geometry-optimized ScGaCu structure.

The structure in CIF format:
```
data_ScGaCu
_cell_length_a 4.242
_cell_length_b 19.526
_cell_length_c 7.294
_cell_angle_alpha 90.00
_cell_angle_beta 90.00
_cell_angle_gamma 90.00
_space_group_name_H-M_alt 'I m m 2'
_space_group_IT_number 44
loop_
_space_group_symop_operation_xyz
'x,y,z'
'-x,-y,z'
'-x,y,z'
'x,-y,z'
'x+1/2,y+1/2,z+1/2'
'-x+1/2,-y+1/2,z+1/2'
'-x+1/2,y+1/2,z+1/2'
'x+1/2,-y+1/2,z+1/2'
loop_
_atom_site_label
_atom_site_type_symbol
_atom_site_fract_x
_atom_site_fract_y
_atom_site_fract_z
Sc1 Sc 0.000 0.000 0.000
Sc2 Sc 0.000 0.166 0.057
Sc3 Sc 0.000 0.333 0.000
Sc4 Sc 0.000 0.500 0.058
Ga1 Ga 0.000 0.093 0.692
Ga2 Ga 0.000 0.262 0.366
Ga3 Ga 0.000 0.430 0.691
Cu1 Cu 0.000 0.073 0.360
Cu2 Cu 0.000 0.235 0.697
Cu3 Cu 0.000 0.399 0.360
```

DFT formation energy in eV per atom: -0.515
Energy in eV/atom: -5.00
Magnetic moment in μB/f.u.: 0.00

---

# 2
Density functional theory data (GGA-PBE) for a geometry-optimized Sc3Ga4Cu structure.

The structure in CIF format:
```
data_Sc3Ga4Cu
_cell_length_a 3.190
_cell_length_b 5.778
_cell_length_c 16.620
_cell_angle_alpha 90.00
_cell_angle_beta 90.00
_cell_angle_gamma 90.00
_space_group_name_H-M_alt 'I m m m'
_space_group_IT_number 71
_space_group_name_Hall '-I 2 2'
loop_
_atom_site_label
_atom_site_type_symbol
_atom_site_fract_x
_atom_site_fract_y
_atom_site_fract_z
Sc1 Sc 0.000 0.000 0.000
Sc2 Sc 0.000 0.500 0.232
Ga1 Ga 0.000 0.258 0.381
Cu1 Cu 0.000 0.000 0.500
```

DFT formation energy in eV per atom: -0.341
Energy in eV/atom: -4.74
Magnetic moment in μB/f.u.: 0.00

---

# 3
Density functional theory data (GGA-PBE) for a geometry-optimized ScGaCu3 structure.

The structure in CIF format:
```
data_ScGaCu3
_cell_length_a 4.457
_cell_length_b 4.457
_cell_length_c 4.457
_cell_angle_alpha 90.00
_cell_angle_beta 90.00
_cell_angle_gamma 90.00
_space_group_name_H-M_alt 'P m -3 m'
_space_group_IT_number 221
_space_group_name_Hall '-P 4 2 3'
loop_
_atom_site_label
_atom_site_type_symbol
_atom_site_fract_x
_atom_site_fract_y
_atom_site_fract_z
Sc1 Sc 0.000 0.000 0.000
Ga1 Ga 0.500 0.500 0.500
Cu1 Cu 0.000 0.500 0.500
```

Offset from the most stable computed form in meV/atom: 249
DFT formation energy in eV per atom: 0.234
Energy in eV/atom: -4.10
Magnetic moment in μB/f.u.: 0.00

---

# 4
Density functional theory data (GGA-PBE) for a geometry-optimized ScGa6Cu structure.

The structure in CIF format:
```
data_ScGa6Cu
_cell_length_a 6.689
_cell_length_b 9.773
_cell_length_c 4.268
_cell_angle_alpha 90.00
_cell_angle_beta 90.00
_cell_angle_gamma 90.00
_space_group_name_H-M_alt 'C m m m'
_space_group_IT_number 65
_space_group_name_Hall '-C 2 2'
loop_
_atom_site_label
_atom_site_type_symbol
_atom_site_fract_x
_atom_site_fract_y
_atom_site_fract_z
Sc1 Sc 0.000 0.000 0.000
Ga1 Ga 0.000 0.211 0.500
Ga2 Ga 0.200 0.500 0.500
Ga3 Ga 0.250 0.250 0.000
Cu1 Cu 0.000 0.500 0.000
```

DFT formation energy in eV per atom: -0.189
Energy in eV/atom: -3.76
Magnetic moment in μB/f.u.: 0.00

---

# 5
Density functional theory data (GGA-PBE) for a geometry-optimized Sc2Ga2Cu structure.

The structure in CIF format:
```
data_Sc2Ga2Cu
_cell_length_a 4.170
_cell_length_b 4.170
_cell_length_c 12.055
_cell_angle_alpha 90.00
_cell_angle_beta 90.00
_cell_angle_gamma 90.00
_space_group_name_H-M_alt 'I 4/m m m'
_space_group_IT_number 139
_space_group_name_Hall '-I 4 2'
loop_
_atom_site_label
_atom_site_type_symbol
_atom_site_fract_x
_atom_site_fract_y
_atom_site_fract_z
Sc1 Sc 0.000 0.500 0.250
Ga1 Ga 0.000 0.000 0.096
Cu1 Cu 0.000 0.000 0.500
```

Offset from the most stable computed form in meV/atom: 726
DFT formation energy in eV per atom: 0.187
Energy in eV/atom: -4.38
Magnetic moment in μB/f.u.: 0.99

---

# 6
Density functional theory data (GGA-PBE) for a geometry-optimized Sc3Ga3Cu2 structure.

The structure in CIF format:
```
data_Sc3Ga3Cu2
_cell_length_a 4.152
_cell_length_b 9.954
_cell_length_c 13.675
_cell_angle_alpha 90.00
_cell_angle_beta 90.00
_cell_angle_gamma 90.00
_space_group_name_H-M_alt 'C m c m'
_space_group_IT_number 63
_space_group_name_Hall '-C 2c 2'
loop_
_atom_site_label
_atom_site_type_symbol
_atom_site_fract_x
_atom_site_fract_y
_atom_site_fract_z
Sc1 Sc 0.000 0.086 0.110
Sc2 Sc 0.000 0.355 0.250
Ga1 Ga 0.000 0.356 0.750
Ga2 Ga 0.000 0.383 0.040
Cu1 Cu 0.000 0.208 0.602
```

DFT formation energy in eV per atom: -0.521
Energy in eV/atom: -5.05
Magnetic moment in μB/f.u.: 0.00

---

# 7
Density functional theory data (GGA-PBE) for a geometry-optimized Sc2Ga2Cu3 structure.

The structure in CIF format:
```
data_Sc2Ga2Cu3
_cell_length_a 4.019
_cell_length_b 18.269
_cell_length_c 3.102
_cell_angle_alpha 90.00
_cell_angle_beta 90.00
_cell_angle_gamma 90.00
_space_group_name_H-M_alt 'C m m m'
_space_group_IT_number 65
_space_group_name_Hall '-C 2 2'
loop_
_atom_site_label
_atom_site_type_symbol
_atom_site_fract_x
_atom_site_fract_y
_atom_site_fract_z
Sc1 Sc 0.000 0.147 0.000
Ga1 Ga 0.000 0.290 0.500
Cu1 Cu 0.000 0.000 0.000
Cu2 Cu 0.000 0.435 0.500
```

DFT formation energy in eV per atom: -0.220
Energy in eV/atom: -4.65
Magnetic moment in μB/f.u.: 0.00

---

# 8
Density functional theory data (GGA-PBE) for a geometry-optimized Sc3Ga4Cu2 structure.

The structure in CIF format:
```
data_Sc3Ga4Cu2
_cell_length_a 9.869
_cell_length_b 4.289
_cell_length_c 8.088
_cell_angle_alpha 90.00
_cell_angle_beta 115.17
_cell_angle_gamma 90.00
_space_group_name_H-M_alt 'C 1 2/m 1'
_space_group_IT_number 12
loop_
_space_group_symop_operation_xyz
'x,y,z'
'-x,-y,-z'
'-x,y,-z'
'x,-y,z'
'x+1/2,y+1/2,z'
'-x+1/2,-y+1/2,-z'
'-x+1/2,y+1/2,-z'
'x+1/2,-y+1/2,z'
loop_
_atom_site_label
_atom_site_type_symbol
_atom_site_fract_x
_atom_site_fract_y
_atom_site_fract_z
Sc1 Sc 0.000 0.000 0.000
Sc2 Sc 0.169 0.500 0.658
Ga1 Ga 0.043 0.000 0.372
Ga2 Ga 0.232 0.500 0.075
Cu1 Cu 0.105 0.500 0.275
```

DFT formation energy in eV per atom: -0.543
Energy in eV/atom: -4.91
Magnetic moment in μB/f.u.: 0.00

---

# 9
Density functional theory data (GGA-PBE) for a geometry-optimized Sc2Ga2Cu structure.

The structure in CIF format:
```
data_Sc2Ga2Cu
_cell_length_a 6.534
_cell_length_b 6.534
_cell_length_c 4.250
_cell_angle_alpha 90.00
_cell_angle_beta 90.00
_cell_angle_gamma 90.00
_space_group_name_H-M_alt 'P 4/m b m'
_space_group_IT_number 127
_space_group_name_Hall '-P 4 2ab'
loop_
_atom_site_label
_atom_site_type_symbol
_atom_site_fract_x
_atom_site_fract_y
_atom_site_fract_z
Sc1 Sc 0.168 0.332 0.000
Ga1 Ga 0.139 0.639 0.500
Cu1 Cu 0.000 0.000 0.500
```

Offset from the most stable computed form in meV/atom: 37
DFT formation energy in eV per atom: -0.502
Energy in eV/atom: -5.06
Magnetic moment in μB/f.u.: 0.00

---

# 10
Density functional theory data (GGA-PBE) for a geometry-optimized ScGa3Cu2 structure.

The structure in CIF format:
```
data_ScGa3Cu2
_cell_length_a 4.091
_cell_length_b 7.468
_cell_length_c 12.691
_cell_angle_alpha 90.00
_cell_angle_beta 90.00
_cell_angle_gamma 90.00
_space_group_name_H-M_alt 'I m m m'
_space_group_IT_number 71
_space_group_name_Hall '-I 2 2'
loop_
_atom_site_label
_atom_site_type_symbol
_atom_site_fract_x
_atom_site_fract_y
_atom_site_fract_z
Sc1 Sc 0.000 0.000 0.126
Ga1 Ga 0.000 0.205 0.326
Ga2 Ga 0.000 0.336 0.000
Cu1 Cu 0.000 0.341 0.500
Cu2 Cu 0.000 0.500 0.198
```

DFT formation energy in eV per atom: -0.314
Energy in eV/atom: -4.25
Magnetic moment in μB/f.u.: 0.00